<i>
Density functional theory data (PBEsol) for a geometry-optimized K2YCl structure.

The structure in POSCAR format:
```
K2YCl
1.0
3.8145 0.0000 0.0000
0.0000 5.9852 0.0000
0.0000 0.0000 6.4703
Cl Y K
1 1 2
Cartesian
0.0000 2.9926 3.2351 Cl
1.9072 0.0000 3.2351 Y
1.9072 2.9926 0.0000 K
0.0000 0.0000 0.0000 K
```

The value obtained for the total moment is 0.5 μB/f.u. As for the space group: Pmmm, No. 47. The value obtained for the density of states at the Fermi level is 3.82 states/eV per cell.

---

<ii>
Density functional theory data (PBEsol) for a geometry-optimized K2YCl structure.

The structure in POSCAR format:
```
K2YCl
1.0
3.5522 0.0000 0.0000
0.0000 3.5522 0.0000
0.0000 0.0000 10.8412
Cl K Y
1 2 1
Cartesian
1.7761 1.7761 5.4206 Cl
0.0000 0.0000 7.3165 K
0.0000 0.0000 3.5247 K
1.7761 1.7761 0.0000 Y
```

The value obtained for the total moment is 0.0 μB/f.u. As for the space group: P4/mmm, No. 123. The value obtained for the density of states at the Fermi level is 3.01 states/eV per cell.

---

<ii> is the most stable structure; the next one sits 0.559 eV/atom above it.

---

<i>
Density functional theory data (PBEsol) for a geometry-optimized KZrCl2 structure.

The structure in POSCAR format:
```
KZrCl2
1.0
-1.2552 -3.2280 -1.0620
2.0118 -1.6183 2.5411
-5.6625 0.6010 4.8659
K Zr Cl
1 1 2
Cartesian
-2.5697 0.2727 2.2082 K
-4.6204 -1.8926 5.0350 Zr
-5.3031 0.5628 4.5571 Cl
-0.9065 -2.2868 1.8436 Cl
```

The value obtained for the total moment is 0.9 μB/f.u. As for the space group: P4mm, No. 99. The value obtained for the density of states at the Fermi level is 2.55 states/eV per cell.

---

<ii>
Density functional theory data (PBEsol) for a geometry-optimized KZrCl2 structure.

The structure in POSCAR format:
```
KZrCl2
1.0
3.2521 0.0053 0.0053
-0.0728 5.4185 0.0052
-0.0728 -0.0114 5.4184
Cl K Zr
2 1 1
Cartesian
-0.0364 2.7092 0.0026 Cl
-0.0364 -0.0057 2.7092 Cl
0.0000 0.0000 0.0000 K
-0.0728 2.7035 2.7118 Zr
```

The value obtained for the total moment is 0.0 μB/f.u. As for the space group: C2/m, No. 12. The value obtained for the density of states at the Fermi level is 2.55 states/eV per cell.

---

<i> is the most stable structure; the next one sits 0.100 eV/atom above it.

---

<i>
Density functional theory data (PBEsol) for a geometry-optimized KZrCl structure.

The structure in POSCAR format:
```
KZrCl
1.0
-4.2733 -1.4669 2.3581
0.2599 -2.3662 4.5063
-1.5284 2.3981 4.2292
Zr K Cl
1 1 1
Cartesian
-1.3854 -0.3587 2.7734 Zr
-2.7709 -0.7175 5.5469 K
0.0000 0.0000 0.0000 Cl
```

The value obtained for the total moment is 3.7 μB/f.u. As for the space group: F-43m, No. 216. The value obtained for the density of states at the Fermi level is 2.66 states/eV per cell.

---

<ii>
Density functional theory data (PBEsol) for a geometry-optimized KZrCl structure.

The structure in POSCAR format:
```
KZrCl
1.0
3.3903 0.0000 0.0000
-1.6952 2.9361 0.0000
0.0000 0.0000 7.4107
K Zr Cl
1 1 1
Cartesian
0.0000 1.9574 5.1904 K
1.6952 0.9787 2.0012 Zr
0.0000 0.0000 0.2191 Cl
```

The value obtained for the total moment is 0.0 μB/f.u. As for the space group: P3m1, No. 156. The value obtained for the density of states at the Fermi level is 1.73 states/eV per cell.

---

<ii> is the most stable structure; the next one sits 1.373 eV/atom above it.

---

<i>
Density functional theory data (PBEsol) for a geometry-optimized KZr2Cl structure.

The structure in POSCAR format:
```
KZr2Cl
1.0
-2.8712 0.0169 -1.3896
-1.3022 -1.1472 2.6765
-1.4627 8.9655 3.1313
Zr K Cl
2 1 1
Cartesian
-0.0764 0.4683 0.1635 Zr
-2.4778 1.8321 1.4807 Zr
-3.1136 5.7290 2.8417 K
-0.6997 4.2885 1.4978 Cl
```

The value obtained for the total moment is 0.0 μB/f.u. As for the space group: P4mm, No. 99. The value obtained for the density of states at the Fermi level is 1.05 states/eV per cell.

---

<ii>
Density functional theory data (PBEsol) for a geometry-optimized KZr2Cl structure.

The structure in POSCAR format:
```
KZr2Cl
1.0
-1.8255 -0.8445 2.3198
2.8412 -4.7156 0.5190
3.9811 2.8581 4.1733
Zr K Cl
2 1 1
Cartesian
0.6948 -1.1531 0.1269 Zr
2.1464 -3.5624 0.3921 Zr
1.0778 1.0068 3.2465 K
2.4985 -1.3510 3.5061 Cl
```

The value obtained for the total moment is 0.0 μB/f.u. As for the space group: Pmmm, No. 47. The value obtained for the density of states at the Fermi level is 3.01 states/eV per cell.

---

<i> is the most stable structure; the next one sits 0.845 eV/atom above it.

---

<i>
Density functional theory data (PBEsol) for a geometry-optimized La3Cl structure.

The structure in POSCAR format:
```
La3Cl
1.0
-1.6084 -3.1014 -1.1326
3.5530 -0.0076 0.9297
-2.5327 -2.2148 9.6611
Cl La
1 3
Cartesian
0.0000 0.0000 0.0000 Cl
-1.2664 -1.1074 4.8305 La
1.2978 -1.5065 2.2821 La
-0.1654 -2.7860 7.8634 La
```

The value obtained for the total moment is 0.0 μB/f.u. As for the space group: P-6m2, No. 187. The value obtained for the density of states at the Fermi level is 4.72 states/eV per cell.

---

<ii>
Density functional theory data (PBEsol) for a geometry-optimized La3Cl structure.

The structure in POSCAR format:
```
La3Cl
1.0
-0.4291 -3.3966 -1.3286
5.1477 -1.5174 -2.8588
3.7340 -3.6677 3.0951
Cl La
1 3
Cartesian
5.0424 -1.6776 -2.4153 Cl
7.0479 -6.1672 -1.7360 La
1.8777 -1.6951 -1.3484 La
4.3299 -4.1334 -0.9823 La
```

The value obtained for the total moment is 0.0 μB/f.u. As for the space group: Imm2, No. 44. The value obtained for the density of states at the Fermi level is 5.06 states/eV per cell.

---

<iii>
Density functional theory data (PBEsol) for a geometry-optimized La3Cl structure.

The structure in POSCAR format:
```
La3Cl
1.0
-2.1447 -0.8544 4.1931
-2.4290 -3.6183 -1.9797
3.5230 -3.0149 1.1876
La Cl
3 1
Cartesian
0.5470 -3.3166 -0.3960 La
0.6892 -1.9346 2.6904 La
-2.2869 -2.2363 1.1067 La
0.0000 0.0000 0.0000 Cl
```

The value obtained for the total moment is 0.0 μB/f.u. As for the space group: Pm-3m, No. 221. The value obtained for the density of states at the Fermi level is 5.77 states/eV per cell.

---

<i> is the most stable structure; the next one sits 0.109 eV/atom above it.

---

<i>
Density functional theory data (PBEsol) for a geometry-optimized LaMg2Cl structure.

The structure in POSCAR format:
```
LaMg2Cl
1.0
-1.3445 1.9020 -2.5861
-4.9244 -3.0690 0.3030
1.1734 4.0850 4.7363
Mg La Cl
2 1 1
Cartesian
-1.7915 2.9495 0.7588 Mg
-5.0934 2.9143 2.4495 Mg
-3.3009 -0.0370 1.6889 La
-3.1395 -0.5744 -1.1322 Cl
```

The value obtained for the total moment is 0.0 μB/f.u. As for the space group: Imm2, No. 44. The value obtained for the density of states at the Fermi level is 3.38 states/eV per cell.

---

<ii>
Density functional theory data (PBEsol) for a geometry-optimized LaMg2Cl structure.

The structure in POSCAR format:
```
LaMg2Cl
1.0
4.1135 0.0000 0.0000
0.0000 4.1135 0.0000
-2.0567 -2.0567 6.0464
Cl Mg La
1 2 1
Cartesian
2.0567 2.0567 0.0000 Cl
2.0567 0.0000 3.0232 Mg
0.0000 2.0567 3.0232 Mg
0.0000 0.0000 0.0000 La
```

The value obtained for the total moment is 0.0 μB/f.u. As for the space group: I4/mmm, No. 139. The value obtained for the density of states at the Fermi level is 2.97 states/eV per cell.

---

<iii>
Density functional theory data (PBEsol) for a geometry-optimized LaMg2Cl structure.

The structure in POSCAR format:
```
LaMg2Cl
1.0
3.4992 0.0000 0.0000
0.0000 5.5871 0.0000
0.0000 0.0000 5.6932
Mg Cl La
2 1 1
Cartesian
0.0000 0.0000 4.2484 Mg
0.0000 0.0000 1.4447 Mg
1.7496 2.7935 0.0000 Cl
1.7496 2.7935 2.8466 La
```

The value obtained for the total moment is 0.0 μB/f.u. As for the space group: Pmmm, No. 47. The value obtained for the density of states at the Fermi level is 2.03 states/eV per cell.

---

<iv>
Density functional theory data (PBEsol) for a geometry-optimized LaMg2Cl structure.

The structure in POSCAR format:
```
LaMg2Cl
1.0
3.3682 0.0000 0.0000
-1.6841 5.1275 -0.3169
0.0000 -1.7446 6.0770
Mg La Cl
2 1 1
Cartesian
1.6841 3.2167 5.4048 Mg
0.0000 0.8584 4.6859 Mg
1.6841 2.3024 1.7373 La
1.6841 -0.4841 2.7305 Cl
```

The value obtained for the total moment is 0.0 μB/f.u. As for the space group: Cm, No. 8. The value obtained for the density of states at the Fermi level is 2.68 states/eV per cell.

---

<ii> is the most stable structure; the next one sits 0.050 eV/atom above it.